The following is a GGA-PBE calculation of a relaxed BaCuS2N crystal, from the Alexandria database.

Geometry as extended XYZ:
```
5
Lattice="4.9702 0.0000 0.0000 0.0000 4.9702 0.0000 0.0000 0.0000 3.9470" Properties=species:S:1:pos:R:3 pbc="T T T"
Ba 0.0000 0.0000 0.0000
Cu 2.4851 2.4851 1.9735
S 0.0000 2.4851 1.9735
S 2.4851 0.0000 1.9735
N 2.4851 2.4851 0.0000
```

Values from the calculation:
energy relative to the lowest polymorph listed for this composition = 0 meV/atom
raw formation energy = -0.087 eV per atom
total DFT energy (no corrections) = -23.03 eV for the cell shown